Run one
Entry from the Alexandria database: crystalline KCoTeN2 at its relaxed geometry (GGA-PBE).

The space group is P4/mmm (No. 123) and the conventional cell measures 4.1622, 4.1622 and 5.2067 Å, with angles of 90.00, 90.00 and 90.00 degrees. The asymmetric unit holds K at (0.0000, 0.0000, 0.0000), Co at (0.5000, 0.5000, 0.5000), Te at (0.5000, 0.5000, 0.0000) and N at (0.0000, 0.5000, 0.5000).

Run two
Entry from the Alexandria database: crystalline KCoTeN2 at its relaxed geometry (GGA-PBE).

The space group is P4/mmm (No. 123) and the conventional cell measures 4.7151, 4.7151 and 6.9327 Å, with angles of 90.00, 90.00 and 90.00 degrees. The asymmetric unit holds K at (0.0000, 0.0000, 0.0000), Co at (0.5000, 0.5000, 0.5000), Te at (0.0000, 0.0000, 0.5000) and N at (0.0000, 0.5000, 0.0000).

Result of the stability comparison: run one is the most stable of them.

Run one
Entry from the Alexandria database: crystalline K2NaCo at its relaxed geometry (GGA-PBE).

The space group is Fm-3m (No. 225) and the conventional cell measures 8.4935, 8.4935 and 8.4935 Å, with angles of 90.00, 90.00 and 90.00 degrees. The asymmetric unit holds K at (0.2500, 0.2500, 0.2500), Na at (0.0000, 0.0000, 0.0000) and Co at (0.0000, 0.0000, 0.5000).

Run two
Entry from the Alexandria database: crystalline K2NaCo at its relaxed geometry (GGA-PBE).

The space group is I-42d (No. 122) and the conventional cell measures 9.5961, 9.5961 and 7.0609 Å, with angles of 90.00, 90.00 and 90.00 degrees. The asymmetric unit holds K at (0.2085, 0.7500, 0.1250), Na at (0.0000, 0.0000, 0.5000) and Co at (0.0000, 0.0000, 0.0000).

Result of the stability comparison: run one is the most stable of them.